[1]
First-principles (PBE) data for an optimized crystal structure of Pr12Hg6Ru, as listed in Alexandria via LeMat-Bulk.

The calculation puts the density at 8.06 g/cm3. The calculation puts the formation energy from the elements at -5.261 kcal/mol of atoms. The value obtained for the total energy is -218.325 eV/cell.

Lattice parameters (Å, degrees): 12.4952 12.4952 13.6863 90.00 90.00 120.00
Space group R-3 (No. 148, hexagonal axes)
Inequivalent atoms, fractional coordinates:
Pr  0.0372  0.8472  0.3880 x18
Pr  0.0408  0.1936  0.8772 x18
Hg  0.0063  0.6043  0.2566 x18
Ru  0.0000  0.0000  0.0000 x3

---

[2]
First-principles (PBE) data for an optimized crystal structure of LaNi3Sb3, as listed in Alexandria via LeMat-Bulk.

The calculation puts the density at 6.89 g/cm3. The value obtained for the total energy is -72.963 eV/cell.

Lattice parameters (Å, degrees): 6.894 6.894 6.894 90.00 90.00 90.00
Space group Pm-3n (No. 223)
Inequivalent atoms, fractional coordinates:
La  0.000  0.000  0.000 x2
Ni  0.000  0.250  0.500 x6
Sb  0.000  0.500  0.250 x6

---

[3]
First-principles (PBE) data for an optimized crystal structure of Na2BiBrO2, as listed in Alexandria via LeMat-Bulk.

The calculation puts the density at 4.60 g/cm3. The value obtained for the total energy is -25.331 eV/cell.

Lattice parameters (Å, degrees): 4.517 4.517 6.490 90.00 90.00 90.00
Space group P4/mmm (No. 123)
Inequivalent atoms, fractional coordinates:
Na  0.000  0.000  0.209 x2
Bi  0.500  0.500  0.000 x1
Br  0.500  0.500  0.500 x1
O  0.000  0.500  0.000 x2

---

[4]
First-principles (PBE) data for an optimized crystal structure of KLiCa2Rh, as listed in Alexandria via LeMat-Bulk.

The calculation puts the density at 2.13 g/cm3. The calculation puts the formation energy from the elements at 22.276 kcal/mol of atoms. The value obtained for the total energy is -9.536 eV/cell.

Lattice parameters (Å, degrees): 6.122 6.122 4.757 90.00 90.00 90.00
Space group P4/mmm (No. 123)
Inequivalent atoms, fractional coordinates:
K  0.000  0.000  0.000 x1
Li  0.500  0.500  0.500 x1
Ca  0.000  0.500  0.000 x2
Rh  0.000  0.000  0.500 x1

---

[5]
First-principles (PBE) data for an optimized crystal structure of AlCu2Ni2, as listed in Alexandria via LeMat-Bulk.

The calculation puts the density at 6.90 g/cm3. The calculation puts the formation energy from the elements at 2.475 kcal/mol of atoms. The value obtained for the total energy is -45.922 eV/cell.

Lattice parameters (Å, degrees): 3.282 3.282 12.130 90.00 90.00 90.00
Space group P4/nmm (No. 129, origin choice 2)
Inequivalent atoms, fractional coordinates:
Al  0.250  0.250  0.235 x2
Cu  0.250  0.250  0.651 x2
Cu  0.250  0.750  0.000 x2
Ni  0.250  0.250  0.847 x2
Ni  0.250  0.750  0.500 x2

---

[6]
First-principles (PBE) data for an optimized crystal structure of ErTcH5, as listed in Alexandria via LeMat-Bulk.

The calculation puts the density at 6.58 g/cm3. The value obtained for the total energy is -64.872 eV/cell.

Lattice parameters (Å, degrees): 5.291 6.966 3.702 90.00 90.00 90.00
Space group Imm2 (No. 44)
Inequivalent atoms, fractional coordinates:
Er  0.000  0.000  0.000 x2
Tc  0.000  0.500  0.973 x2
H  0.000  0.283  0.780 x4
H  0.000  0.500  0.484 x2
H  0.179  0.000  0.496 x4

---

[7]
First-principles (PBE) data for an optimized crystal structure of BeAl6Cr2, as listed in Alexandria via LeMat-Bulk.

The calculation puts the density at 3.68 g/cm3. The calculation puts the formation energy from the elements at -0.597 kcal/mol of atoms. The value obtained for the total energy is -91.323 eV/cell.

Lattice parameters (Å, degrees): 12.088 3.534 6.214 90.00 111.04 90.00
Space group C2/m (No. 12)
Inequivalent atoms, fractional coordinates:
Be  0.000  0.000  0.000 x2
Al  0.101  0.000  0.652 x4
Al  0.162  0.500  0.998 x4
Al  0.216  0.000  0.340 x4
Cr  0.053  0.500  0.292 x4

---

[8]
First-principles (PBE) data for an optimized crystal structure of TlTc2Rh, as listed in Alexandria via LeMat-Bulk.

The calculation puts the density at 12.71 g/cm3. The calculation puts the formation energy from the elements at 5.686 kcal/mol of atoms. The value obtained for the total energy is -29.463 eV/cell.

Lattice parameters (Å, degrees): 2.900 2.900 7.818 90.00 90.00 90.00
Space group P4mm (No. 99)
Inequivalent atoms, fractional coordinates:
Tl  0.000  0.000  0.000 x1
Tc  0.000  0.000  0.504 x1
Tc  0.500  0.500  0.714 x1
Rh  0.500  0.500  0.270 x1

---

[9]
First-principles (PBE) data for an optimized crystal structure of EuZnGa, as listed in Alexandria via LeMat-Bulk.

The calculation puts the density at 6.45 g/cm3. The calculation puts the formation energy from the elements at -5.081 kcal/mol of atoms. The value obtained for the total energy is -60.945 eV/cell.

Lattice parameters (Å, degrees): 6.663 6.663 6.663 90.00 90.00 90.00
Space group F-43m (No. 216)
Inequivalent atoms, fractional coordinates:
Eu  0.000  0.000  0.000 x4
Zn  0.250  0.250  0.750 x4
Ga  0.000  0.000  0.500 x4

---

[10]
First-principles (PBE) data for an optimized crystal structure of Tm2PuHg, as listed in Alexandria via LeMat-Bulk.

The calculation puts the density at 12.60 g/cm3. The calculation puts the formation energy from the elements at -1.603 kcal/mol of atoms. The value obtained for the total energy is -23.855 eV/cell.

Lattice parameters (Å, degrees): 5.372 5.372 3.574 90.00 90.00 90.00
Space group P4/mmm (No. 123)
Inequivalent atoms, fractional coordinates:
Tm  0.000  0.500  0.000 x2
Pu  0.000  0.000  0.500 x1
Hg  0.500  0.500  0.500 x1

---

[11]
First-principles (PBE) data for an optimized crystal structure of CdRe3H, as listed in Alexandria via LeMat-Bulk.

The calculation puts the density at 9.80 g/cm3. The value obtained for the total energy is -21.612 eV/cell.

Lattice parameters (Å, degrees): 4.846 4.846 4.846 90.00 90.00 90.00
Space group Pm-3m (No. 221)
Inequivalent atoms, fractional coordinates:
Cd  0.000  0.000  0.000 x1
Re  0.000  0.000  0.500 x3
H  0.500  0.500  0.500 x1

---

[12]
First-principles (PBE) data for an optimized crystal structure of K2SrCeO4, as listed in Alexandria via LeMat-Bulk.

The calculation puts the density at 4.24 g/cm3. The value obtained for the total energy is -49.809 eV/cell.

Lattice parameters (Å, degrees): 6.323 3.666 6.597 90.00 108.74 90.00
Space group P2/m (No. 10)
Inequivalent atoms, fractional coordinates:
K  0.000  0.000  0.000 x1
K  0.500  0.500  0.000 x1
Sr  0.000  0.500  0.500 x1
Ce  0.500  0.000  0.500 x1
O  0.268  0.000  0.688 x2
O  0.290  0.500  0.308 x2